(1)
This record from Alexandria via LeMat-Bulk describes an optimized crystal structure of SiPbSe2. The functional is PBE-GGA.

a = 9.232 Å, b = 9.232 Å, c = 9.232 Å
α = 22.46°, β = 22.46°, γ = 22.46°
Fractional positions:
Pb 0.000 0.000 0.000
Si 0.500 0.500 0.500
Se 0.886 0.886 0.886
Se 0.114 0.114 0.114

Calculated values
The density of states at the Fermi level comes out at 0.376 states/eV per atom. The theoretical density comes out at 6.48 g cm⁻³. As for the formation energy (no corrections): -0.230 eV/atom. Its raw total energy is -4.255 eV/atom. Its energy above the most stable polymorph in this dataset is 0.0 meV per atom.

***

(2)
This record from Alexandria via LeMat-Bulk describes an optimized crystal structure of SiPbSe2. The functional is PBE-GGA.

a = 3.895 Å, b = 3.895 Å, c = 8.544 Å
α = 90.00°, β = 90.00°, γ = 126.41°
Fractional positions:
Pb 0.500 0.500 0.750
Se 0.000 0.000 0.050
Se 0.000 0.000 0.450
Si 0.500 0.500 0.250

Calculated values
The density of states at the Fermi level comes out at 0.301 states/eV per atom. The theoretical density comes out at 6.26 g cm⁻³. As for the formation energy (no corrections): 0.077 eV/atom. Its raw total energy is -3.948 eV/atom. Its energy above the most stable polymorph in this dataset is 307.1 meV per atom.

***

(3)
This record from Alexandria via LeMat-Bulk describes an optimized crystal structure of SiPbSe2. The functional is PBE-GGA.

a = 5.098 Å, b = 5.098 Å, c = 5.098 Å
α = 60.00°, β = 60.00°, γ = 60.00°
Fractional positions:
Pb 0.500 0.500 0.500
Si 0.000 0.000 0.000
Se 0.250 0.250 0.250
Se 0.750 0.750 0.750

Calculated values
The density of states at the Fermi level comes out at 0.597 states/eV per atom. The theoretical density comes out at 6.97 g cm⁻³. As for the formation energy (no corrections): 0.171 eV/atom. Its raw total energy is -3.854 eV/atom. Its energy above the most stable polymorph in this dataset is 401.1 meV per atom.

***

Question: Look up the raw total energy of the second one.
Answer: -3.948 eV/atom

***

Question: Which formula does entry 3 have?
Answer: SiPbSe2